No. 1
Entry from Alexandria via LeMat-Bulk: BaMg2BeIr after structural relaxation (PBE).

space-group type = P4/mmm (123)
E = -3.661 eV per atom
density = 5.38 g/cm³
energy relative to the elements = -0.12 eV per atom

Cell lengths 5.1078, 5.1078, 4.5842 Å; angles 90.00, 90.00, 90.00 degrees
With the nearest neighbours (Å) after each atom.
Element x y z (fractional)
Ba (0.0000, 0.0000, 0.0000)  8 Mg 3.43, 4 Be 3.61
Mg (0.0000, 0.5000, 0.5000)  2 Ir 2.55
Mg (0.5000, 0.0000, 0.5000)  2 Ir 2.55
Be (0.5000, 0.5000, 0.0000)  2 Ir 2.29
Ir (0.5000, 0.5000, 0.5000)  2 Be 2.29, 4 Mg 2.55

---

No. 2
Entry from Alexandria via LeMat-Bulk: BaNaBeIr2 after structural relaxation (PBE).

space-group type = P4/mmm (123)
E = -3.569 eV per atom
density = 8.32 g/cm³
energy relative to the elements = 1.37 eV per atom

Cell lengths 4.9246, 4.9246, 4.5589 Å; angles 90.00, 90.00, 90.00 degrees
With the nearest neighbours (Å) after each atom.
Element x y z (fractional)
Ba (0.0000, 0.0000, 0.0000)  8 Ir 3.36, 4 Be 3.48
Na (0.5000, 0.5000, 0.5000)  2 Be 2.28, 4 Ir 2.46
Be (0.5000, 0.5000, 0.0000)  2 Na 2.28
Ir (0.0000, 0.5000, 0.5000)  2 Na 2.46
Ir (0.5000, 0.0000, 0.5000)  2 Na 2.46

---

No. 3
Entry from Alexandria via LeMat-Bulk: BaBeNb2Ir after structural relaxation (PBE).

space-group type = P4/mmm (123)
E = -3.980 eV per atom
density = 6.71 g/cm³
energy relative to the elements = 2.95 eV per atom

Cell lengths 5.0939, 5.0939, 5.0021 Å; angles 90.00, 90.00, 90.00 degrees
With the nearest neighbours (Å) after each atom.
Element x y z (fractional)
Ba (0.0000, 0.0000, 0.0000)  2 Ir 2.50, 4 Nb 2.55
Be (0.5000, 0.5000, 0.5000)  8 Nb 3.57, 4 Ir 3.60
Nb (0.0000, 0.5000, 0.0000)  2 Ba 2.55
Nb (0.5000, 0.0000, 0.0000)  2 Ba 2.55
Ir (0.0000, 0.0000, 0.5000)  2 Ba 2.50

---

No. 4
Entry from Alexandria via LeMat-Bulk: BaBe2IrO8 after structural relaxation (PBE).

space-group type = P-3 (147)
E = -6.121 eV per atom
density = 5.10 g/cm³
ΔE_f (raw) = -1296 meV per atom

Cell lengths 4.8955, 4.8955, 7.4540 Å; angles 90.00, 90.00, 120.00 degrees
With the nearest neighbours (Å) after each atom.
Element x y z (fractional)
Ba (0.0000, 0.0000, 0.0000)  12 O 2.87-3.04
Be (0.3333, 0.6667, 0.7166)  4 O 1.60-1.61
Be (0.6667, 0.3333, 0.2834)  4 O 1.60-1.61
Ir (0.0000, 0.0000, 0.5000)  6 O 1.87
O (0.0495, 0.3323, 0.6470)  1 Be 1.61
O (0.2828, 0.9505, 0.6470)  1 Be 1.61
O (0.3323, 0.2828, 0.3530)  1 Be 1.61
O (0.3333, 0.6667, 0.9316)  1 Be 1.60
O (0.6667, 0.3333, 0.0684)  1 Be 1.60
O (0.6677, 0.7172, 0.6470)  1 Be 1.61
O (0.7172, 0.0495, 0.3530)  1 Be 1.61
O (0.9505, 0.6677, 0.3530)  1 Be 1.61

---

No. 5
Entry from Alexandria via LeMat-Bulk: BaBeIrO5 after structural relaxation (PBE).

space-group type = C2/c (15)
E = -6.538 eV per atom
density = 6.74 g/cm³
ΔE_f (raw) = -1625 meV per atom

Cell lengths 5.6727, 5.6727, 7.2819 Å; angles 103.55, 103.55, 106.87 degrees
With the nearest neighbours (Å) after each atom.
Element x y z (fractional)
Ba (0.1575, 0.8425, 0.7500)  7 O 2.57-2.76
Ba (0.8425, 0.1575, 0.2500)  7 O 2.57-2.76
Be (0.2014, 0.7986, 0.2500)  4 O 1.63-1.78
Be (0.7986, 0.2014, 0.7500)  4 O 1.63-1.78
Ir (0.5000, 0.5000, 0.0000)  6 O 1.90-1.99
Ir (0.5000, 0.5000, 0.5000)  6 O 1.90-1.99
O (0.1220, 0.2814, 0.9057)  1 Be 1.78
O (0.2118, 0.6145, 0.3917)  1 Be 1.63
O (0.2814, 0.1220, 0.4057)  1 Be 1.78
O (0.3855, 0.7882, 0.1083)  1 Be 1.63
O (0.4417, 0.5583, 0.7500)  2 Ir 1.90
O (0.5583, 0.4417, 0.2500)  2 Ir 1.90
O (0.6145, 0.2118, 0.8917)  1 Be 1.63
O (0.7186, 0.8780, 0.5943)  1 Be 1.78
O (0.7882, 0.3855, 0.6083)  1 Be 1.63
O (0.8780, 0.7186, 0.0943)  1 Be 1.78

---

No. 6
Entry from Alexandria via LeMat-Bulk: Ba3Be2IrO6 after structural relaxation (PBE).

space-group type = P-3m1 (164)
E = -6.329 eV per atom
density = 6.16 g/cm³
ΔE_f (raw) = -2010 meV per atom

Cell lengths 5.5869, 5.5869, 7.1657 Å; angles 90.00, 90.00, 120.00 degrees
With the nearest neighbours (Å) after each atom.
Element x y z (fractional)
Ba (0.0000, 0.0000, 0.0000)  6 O 2.77
Ba (0.3333, 0.6667, 0.6737)  1 Be 2.79, 9 O 2.80-3.05
Ba (0.6667, 0.3333, 0.3263)  1 Be 2.79, 9 O 2.80-3.05
Be (0.3333, 0.6667, 0.2849)  3 O 1.57
Be (0.6667, 0.3333, 0.7151)  3 O 1.57
Ir (0.0000, 0.0000, 0.5000)  6 O 2.16
O (0.1722, 0.3443, 0.3082)  1 Be 1.57
O (0.1722, 0.8278, 0.3082)  1 Be 1.57
O (0.3443, 0.1722, 0.6918)  1 Be 1.57
O (0.6557, 0.8278, 0.3082)  1 Be 1.57
O (0.8278, 0.1722, 0.6918)  1 Be 1.57
O (0.8278, 0.6557, 0.6918)  1 Be 1.57

---

No. 7
Entry from Alexandria via LeMat-Bulk: BaBeP2Ir after structural relaxation (PBE).

space-group type = P4/mmm (123)
E = -2.601 eV per atom
density = 4.02 g/cm³
energy relative to the elements = 2.46 eV per atom

Cell lengths 5.5647, 5.5647, 5.3457 Å; angles 90.00, 90.00, 90.00 degrees
With the nearest neighbours (Å) after each atom.
Element x y z (fractional)
Ba (0.0000, 0.0000, 0.0000)  2 Ir 2.67, 4 P 2.78
Be (0.5000, 0.5000, 0.5000)  8 P 3.86, 4 Ir 3.93
P (0.0000, 0.5000, 0.0000)  2 Ba 2.78
P (0.5000, 0.0000, 0.0000)  2 Ba 2.78
Ir (0.0000, 0.0000, 0.5000)  2 Ba 2.67

---

No. 8
Entry from Alexandria via LeMat-Bulk: BaBe2IrRu after structural relaxation (PBE).

space-group type = P4/mmm (123)
E = -5.120 eV per atom
density = 7.47 g/cm³
energy relative to the elements = 0.38 eV per atom

Cell lengths 4.5069, 4.5069, 4.9081 Å; angles 90.00, 90.00, 90.00 degrees
With the nearest neighbours (Å) after each atom.
Element x y z (fractional)
Ba (0.0000, 0.0000, 0.0000)  4 Ru 3.19, 8 Be 3.33
Be (0.0000, 0.5000, 0.5000)  2 Ir 2.25
Be (0.5000, 0.0000, 0.5000)  2 Ir 2.25
Ir (0.5000, 0.5000, 0.5000)  4 Be 2.25, 2 Ru 2.45
Ru (0.5000, 0.5000, 0.0000)  2 Ir 2.45

---

No. 9
Entry from Alexandria via LeMat-Bulk: BaBe2SbIr after structural relaxation (PBE).

space-group type = P4/mmm (123)
E = -3.804 eV per atom
density = 6.63 g/cm³
ΔE_f (raw) = 668 meV per atom

Cell lengths 4.7805, 4.7805, 5.1447 Å; angles 90.00, 90.00, 90.00 degrees
With the nearest neighbours (Å) after each atom.
Element x y z (fractional)
Ba (0.0000, 0.0000, 0.0000)  4 Ir 3.38, 8 Be 3.51
Be (0.0000, 0.5000, 0.5000)  2 Sb 2.39
Be (0.5000, 0.0000, 0.5000)  2 Sb 2.39
Sb (0.5000, 0.5000, 0.5000)  4 Be 2.39, 2 Ir 2.57
Ir (0.5000, 0.5000, 0.0000)  2 Sb 2.57

---

No. 10
Entry from Alexandria via LeMat-Bulk: Ba2BeSbIr after structural relaxation (PBE).

space-group type = P4/mmm (123)
E = -4.193 eV per atom
density = 6.32 g/cm³
ΔE_f (raw) = -82 meV per atom

Cell lengths 6.1300, 6.1300, 4.1817 Å; angles 90.00, 90.00, 90.00 degrees
With the nearest neighbours (Å) after each atom.
Element x y z (fractional)
Ba (0.0000, 0.5000, 0.0000)  2 Be 3.06
Ba (0.5000, 0.0000, 0.0000)  2 Be 3.06
Be (0.0000, 0.0000, 0.0000)  2 Ir 2.09
Sb (0.5000, 0.5000, 0.5000)  8 Ba 3.71
Ir (0.0000, 0.0000, 0.5000)  2 Be 2.09

---

No. 11
Entry from Alexandria via LeMat-Bulk: BaBe2SiIr after structural relaxation (PBE).

space-group type = P4/mmm (123)
E = -4.968 eV per atom
density = 6.54 g/cm³
ΔE_f (raw) = -236 meV per atom

Cell lengths 4.5550, 4.5550, 4.5946 Å; angles 90.00, 90.00, 90.00 degrees
With the nearest neighbours (Å) after each atom.
Element x y z (fractional)
Ba (0.0000, 0.0000, 0.0000)  4 Si 3.22, 8 Be 3.23
Be (0.0000, 0.5000, 0.5000)  2 Ir 2.28
Be (0.5000, 0.0000, 0.5000)  2 Ir 2.28
Si (0.5000, 0.5000, 0.0000)  2 Ir 2.30
Ir (0.5000, 0.5000, 0.5000)  4 Be 2.28, 2 Si 2.30

---

No. 12
Entry from Alexandria via LeMat-Bulk: BaSrBeIr2 after structural relaxation (PBE).

space-group type = P4/mmm (123)
E = -2.894 eV per atom
density = 6.31 g/cm³
energy relative to the elements = 2.12 eV per atom

Cell lengths 5.1545, 5.1545, 6.1281 Å; angles 90.00, 90.00, 90.00 degrees
With the nearest neighbours (Å) after each atom.
Element x y z (fractional)
Ba (0.0000, 0.0000, 0.0000)  4 Ir 2.58
Sr (0.0000, 0.0000, 0.5000)  2 Ba 3.06
Be (0.5000, 0.5000, 0.5000)  4 Sr 3.64, 8 Ir 4.00
Ir (0.0000, 0.5000, 0.0000)  2 Ba 2.58
Ir (0.5000, 0.0000, 0.0000)  2 Ba 2.58

---

Number 1: density of states at the Fermi level 3.11 states/eV/cell. Number 2: density of states at the Fermi level 3.22 states/eV/cell. Number 3: density of states at the Fermi level 7.47 states/eV/cell. Number 4: density of states at the Fermi level 5.37 states/eV/cell. Number 5: density of states at the Fermi level 9.20 states/eV/cell. Number 6: density of states at the Fermi level 1.60 states/eV/cell. Number 7: density of states at the Fermi level 6.33 states/eV/cell. Number 8: density of states at the Fermi level 5.32 states/eV/cell. Number 9: density of states at the Fermi level 2.65 states/eV/cell. Number 10: density of states at the Fermi level 4.13 states/eV/cell. Number 11: density of states at the Fermi level 1.93 states/eV/cell. Number 12: density of states at the Fermi level 2.80 states/eV/cell.